Material: Tb3Y7Tm2
Method: DFT, PBE-GGA
State: relaxed

It has space group P2/m (No. 10), with a = 5.8039 Å, b = 3.5642 Å, c = 18.6620 Å, α = 90.00°, β = 93.36° and γ = 90.00°. The inequivalent atoms are Tb at (0.0000, 0.0000, 0.0000), Tb at (0.2807, 0.5000, 0.6337), Y at (0.1839, 0.5000, 0.1444), Y at (0.2425, 0.0000, 0.4634), Y at (0.3127, 0.0000, 0.8195), Y at (0.5000, 0.5000, 0.0000) and Tm at (0.2069, 0.0000, 0.2946).

The value obtained for the formation enthalpy at 0 K is 107 kJ/mol of formula units.

Material: Tb2Y5Tm3
Method: DFT, PBE-GGA
State: relaxed

It has space group Ibam (No. 72), with a = 9.2741 Å, b = 21.9150 Å, c = 6.7222 Å, α = 90.00°, β = 90.00° and γ = 90.00°. The inequivalent atoms are Tb at (0.0949, 0.1195, 0.0000), Y at (0.0000, 0.2451, 0.2500), Y at (0.0000, 0.5000, 0.2500), Y at (0.0912, 0.3710, 0.5000), Tm at (0.0000, 0.0000, 0.2500) and Tm at (0.2479, 0.1211, 0.5000).

The value obtained for the formation enthalpy at 0 K is 415 kJ/mol of formula units.

Material: Tb4Y3Tm
Method: DFT, PBE-GGA
State: relaxed

It has space group Pmn2_1 (No. 31), with a = 11.2742 Å, b = 7.2789 Å, c = 6.2950 Å, α = 90.00°, β = 90.00° and γ = 90.00°. The inequivalent atoms are Tb at (0.0000, 0.1241, 0.0000), Tb at (0.0000, 0.8751, 0.4978), Tb at (0.2486, 0.8749, 0.8297), Y at (0.0000, 0.3748, 0.4951), Y at (0.2496, 0.3750, 0.8307) and Tm at (0.0000, 0.6252, 0.9956).

The value obtained for the formation enthalpy at 0 K is 5 kJ/mol of formula units.

Material: Tb4Y2Tm
Method: DFT, PBE-GGA
State: relaxed

It has space group P3m1 (No. 156), with a = 3.5847 Å, b = 3.5847 Å, c = 20.0290 Å, α = 90.00°, β = 90.00° and γ = 120.00°. The inequivalent atoms are Tb at (0.0000, 0.0000, 0.0000), Tb at (0.0000, 0.0000, 0.2808), Tb at (0.6667, 0.3333, 0.4255), Tb at (0.6667, 0.3333, 0.7122), Y at (0.3333, 0.6667, 0.5694), Y at (0.3333, 0.6667, 0.8560) and Tm at (0.3333, 0.6667, 0.1400).

The value obtained for the formation enthalpy at 0 K is 4 kJ/mol of formula units.

Material: Tb7Y3Tm2
Method: DFT, PBE-GGA
State: relaxed

It has space group R-3m (No. 166, hexagonal axes), with a = 6.5005 Å, b = 6.5005 Å, c = 33.0845 Å, α = 90.00°, β = 90.00° and γ = 120.00°. The inequivalent atoms are Tb at (0.0000, 0.0000, 0.0000), Tb at (0.0043, 0.5021, 0.4156), Y at (0.0000, 0.0000, 0.3487), Y at (0.0000, 0.0000, 0.5000) and Tm at (0.0000, 0.0000, 0.1663).

The value obtained for the formation enthalpy at 0 K is 318 kJ/mol of formula units.

Material: Tb4Y4Tm
Method: DFT, PBE-GGA
State: relaxed

It has space group C2/m (No. 12), with a = 16.7287 Å, b = 5.4994 Å, c = 6.8002 Å, α = 90.00°, β = 111.67° and γ = 90.00°. The inequivalent atoms are Tb at (0.0729, 0.0000, 0.3881), Tb at (0.1370, 0.5000, 0.7081), Y at (0.1346, 0.0000, 0.9746), Y at (0.2190, 0.5000, 0.2986) and Tm at (0.0000, 0.5000, 0.0000).

The value obtained for the formation enthalpy at 0 K is 92 kJ/mol of formula units.

What did the third record say?
Material: Tb4Y3Tm
Method: DFT, PBE-GGA
State: relaxed

It has space group Pmn2_1 (No. 31), with a = 11.2742 Å, b = 7.2789 Å, c = 6.2950 Å, α = 90.00°, β = 90.00° and γ = 90.00°. The inequivalent atoms are Tb at (0.0000, 0.1241, 0.0000), Tb at (0.0000, 0.8751, 0.4978), Tb at (0.2486, 0.8749, 0.8297), Y at (0.0000, 0.3748, 0.4951), Y at (0.2496, 0.3750, 0.8307) and Tm at (0.0000, 0.6252, 0.9956).

The value obtained for the formation enthalpy at 0 K is 5 kJ/mol of formula units.